Record 1
Here is a geometry-optimized Si2AgGe2 structure from Alexandria via LeMat-Bulk. Energies are from GGA-PBE.

Properties
The density is 5.515 g/cm3. The calculation puts the energy above the lowest structure with this stoichiometry at 10 meV per atom. The calculation puts the density of states at the Fermi level at 3.7 states/eV/cell. Its formation energy from raw total energies is 1.89 eV per formula unit.

Lattice parameters (Å, degrees): 6.759 6.759 4.077 90.00 90.00 90.00
Space group P4/mbm (No. 127)
Inequivalent atoms, fractional coordinates:
Si: 0.125 0.375 0.000 [4 per cell]
Ag: 0.000 0.000 0.000 [2 per cell]
Ge: 0.214 0.714 0.500 [4 per cell]

***

Record 2
Here is a geometry-optimized SiAgGe2 structure from Alexandria via LeMat-Bulk. Energies are from GGA-PBE.

Properties
The density is 6.411 g/cm3. The calculation puts the energy above the lowest structure with this stoichiometry at 57 meV per atom. The calculation puts the density of states at the Fermi level at 7.9 states/eV/cell. Its formation energy from raw total energies is 1.66 eV per formula unit.

Lattice parameters (Å, degrees): 6.630 6.630 6.630 90.00 90.00 90.00
Space group Fm-3m (No. 225)
Inequivalent atoms, fractional coordinates:
Si: 0.000 0.000 0.000 [4 per cell]
Ag: 0.000 0.000 0.500 [4 per cell]
Ge: 0.250 0.250 0.250 [8 per cell]

***

Record 3
Here is a geometry-optimized Si2AgGe2 structure from Alexandria via LeMat-Bulk. Energies are from GGA-PBE.

Properties
The density is 5.595 g/cm3. The calculation puts the energy above the lowest structure with this stoichiometry at 0 meV per atom. The calculation puts the density of states at the Fermi level at 4.1 states/eV/cell. Its formation energy from raw total energies is 1.84 eV per formula unit.

Lattice parameters (Å, degrees): 3.467 3.467 15.276 90.00 90.00 90.00
Space group I4/mmm (No. 139)
Inequivalent atoms, fractional coordinates:
Si: 0.000 0.500 0.250 [4 per cell]
Ag: 0.000 0.000 0.000 [2 per cell]
Ge: 0.000 0.000 0.394 [4 per cell]

***

Record 4
Here is a geometry-optimized SiAgGe2 structure from Alexandria via LeMat-Bulk. Energies are from GGA-PBE.

Properties
The density is 4.922 g/cm3. The calculation puts the energy above the lowest structure with this stoichiometry at 0 meV per atom. The calculation puts the density of states at the Fermi level at 10.2 states/eV/cell. Its formation energy from raw total energies is 1.43 eV per formula unit.

Lattice parameters (Å, degrees): 5.993 5.993 10.569 90.00 90.00 90.00
Space group I-42d (No. 122)
Inequivalent atoms, fractional coordinates:
Si: 0.000 0.000 0.000 [4 per cell]
Ag: 0.000 0.000 0.500 [4 per cell]
Ge: 0.227 0.250 0.125 [8 per cell]

***

Record 5
Here is a geometry-optimized Si2AgGe structure from Alexandria via LeMat-Bulk. Energies are from GGA-PBE.

Properties
The density is 5.637 g/cm3. The calculation puts the energy above the lowest structure with this stoichiometry at 80 meV per atom. The calculation puts the density of states at the Fermi level at 6.8 states/eV/cell. Its formation energy from raw total energies is 2.12 eV per formula unit.

Lattice parameters (Å, degrees): 6.533 6.533 6.533 90.00 90.00 90.00
Space group Fm-3m (No. 225)
Inequivalent atoms, fractional coordinates:
Si: 0.250 0.250 0.250 [8 per cell]
Ag: 0.000 0.000 0.000 [4 per cell]
Ge: 0.000 0.000 0.500 [4 per cell]

***

Record 6
Here is a geometry-optimized Si3AgGe structure from Alexandria via LeMat-Bulk. Energies are from GGA-PBE.

Properties
The density is 4.077 g/cm3. The calculation puts the energy above the lowest structure with this stoichiometry at 0 meV per atom. The calculation puts the density of states at the Fermi level at 2.6 states/eV/cell. Its formation energy from raw total energies is 5.33 eV per formula unit.

Lattice parameters (Å, degrees): 4.760 4.760 4.760 90.00 90.00 90.00
Space group Pm-3m (No. 221)
Inequivalent atoms, fractional coordinates:
Si: 0.000 0.000 0.500 [3 per cell]
Ag: 0.500 0.500 0.500 [1 per cell]
Ge: 0.000 0.000 0.000 [1 per cell]

***

Record 7
Here is a geometry-optimized Si2AgGe structure from Alexandria via LeMat-Bulk. Energies are from GGA-PBE.

Properties
The density is 4.344 g/cm3. The calculation puts the energy above the lowest structure with this stoichiometry at 0 meV per atom. The calculation puts the density of states at the Fermi level at 9.9 states/eV/cell. Its formation energy from raw total energies is 1.80 eV per formula unit.

Lattice parameters (Å, degrees): 5.857 5.857 10.550 90.00 90.00 90.00
Space group I-42d (No. 122)
Inequivalent atoms, fractional coordinates:
Si: 0.239 0.250 0.125 [8 per cell]
Ag: 0.000 0.000 0.500 [4 per cell]
Ge: 0.000 0.000 0.000 [4 per cell]

***

Record 8
Here is a geometry-optimized Si2Ag2Ge structure from Alexandria via LeMat-Bulk. Energies are from GGA-PBE.

Properties
The density is 6.283 g/cm3. The calculation puts the energy above the lowest structure with this stoichiometry at 0 meV per atom. The calculation puts the density of states at the Fermi level at 3.7 states/eV/cell. Its formation energy from raw total energies is 1.77 eV per formula unit.

Lattice parameters (Å, degrees): 3.490 3.490 14.954 90.00 90.00 90.00
Space group I4/mmm (No. 139)
Inequivalent atoms, fractional coordinates:
Si: 0.000 0.500 0.250 [4 per cell]
Ag: 0.000 0.000 0.101 [4 per cell]
Ge: 0.000 0.000 0.500 [2 per cell]

***

Record 9
Here is a geometry-optimized Si2Ag2Ge structure from Alexandria via LeMat-Bulk. Energies are from GGA-PBE.

Properties
The density is 6.347 g/cm3. The calculation puts the energy above the lowest structure with this stoichiometry at 63 meV per atom. The calculation puts the density of states at the Fermi level at 4.3 states/eV/cell. Its formation energy from raw total energies is 2.09 eV per formula unit.

Lattice parameters (Å, degrees): 8.026 8.026 2.799 90.00 90.00 90.00
Space group P4/mbm (No. 127)
Inequivalent atoms, fractional coordinates:
Si: 0.172 0.328 0.000 [4 per cell]
Ag: 0.128 0.628 0.500 [4 per cell]
Ge: 0.000 0.000 0.000 [2 per cell]

***

Record 10
Here is a geometry-optimized SiAg2Ge structure from Alexandria via LeMat-Bulk. Energies are from GGA-PBE.

Properties
The density is 7.268 g/cm3. The calculation puts the energy above the lowest structure with this stoichiometry at 0 meV per atom. The calculation puts the density of states at the Fermi level at 4.4 states/eV/cell. Its formation energy from raw total energies is 1.40 eV per formula unit.

Lattice parameters (Å, degrees): 6.613 6.613 6.613 90.00 90.00 90.00
Space group Fm-3m (No. 225)
Inequivalent atoms, fractional coordinates:
Si: 0.000 0.000 0.000 [4 per cell]
Ag: 0.250 0.250 0.250 [8 per cell]
Ge: 0.000 0.000 0.500 [4 per cell]

***

Record 11
Here is a geometry-optimized SiAg2Ge structure from Alexandria via LeMat-Bulk. Energies are from GGA-PBE.

Properties
The density is 6.847 g/cm3. The calculation puts the energy above the lowest structure with this stoichiometry at 106 meV per atom. The calculation puts the density of states at the Fermi level at 9.3 states/eV/cell. Its formation energy from raw total energies is 1.83 eV per formula unit.

Lattice parameters (Å, degrees): 7.484 7.484 5.481 90.00 90.00 90.00
Space group I-42d (No. 122)
Inequivalent atoms, fractional coordinates:
Si: 0.000 0.000 0.000 [4 per cell]
Ag: 0.226 0.250 0.125 [8 per cell]
Ge: 0.000 0.000 0.500 [4 per cell]

***

Record 12
Here is a geometry-optimized SiAgGe3 structure from Alexandria via LeMat-Bulk. Energies are from GGA-PBE.

Properties
The density is 4.797 g/cm3. The calculation puts the energy above the lowest structure with this stoichiometry at 326 meV per atom. The calculation puts the density of states at the Fermi level at 2.6 states/eV/cell. Its formation energy from raw total energies is 4.98 eV per formula unit.

Lattice parameters (Å, degrees): 4.966 4.966 4.966 90.00 90.00 90.00
Space group Pm-3m (No. 221)
Inequivalent atoms, fractional coordinates:
Si: 0.000 0.000 0.000 [1 per cell]
Ag: 0.500 0.500 0.500 [1 per cell]
Ge: 0.000 0.500 0.500 [3 per cell]

***

Record 13
Here is a geometry-optimized SiAgGe2Te structure from Alexandria via LeMat-Bulk. Energies are from GGA-PBE.

Properties
The density is 5.007 g/cm3. The calculation puts the density of states at the Fermi level at 2.9 states/eV/cell. Its formation energy from raw total energies is 4.65 eV per formula unit.

Lattice parameters (Å, degrees): 4.896 4.896 5.656 90.00 90.00 90.00
Space group P4/mmm (No. 123)
Inequivalent atoms, fractional coordinates:
Si: 0.000 0.000 0.000 [1 per cell]
Ag: 0.500 0.500 0.500 [1 per cell]
Ge: 0.000 0.500 0.500 [2 per cell]
Te: 0.500 0.500 0.000 [1 per cell]

***

Record 14
Here is a geometry-optimized SiAg2GeTe4 structure from Alexandria via LeMat-Bulk. Energies are from GGA-PBE.

Properties
The density is 5.436 g/cm3. The calculation puts the density of states at the Fermi level at 0.9 states/eV/cell. Its formation energy from raw total energies is -0.26 eV per formula unit.

Lattice parameters (Å, degrees): 8.391 9.874 12.195 90.00 90.00 90.00
Space group Fmm2 (No. 42)
Inequivalent atoms, fractional coordinates:
Si: 0.000 0.000 0.000 [4 per cell]
Ag: 0.250 0.250 0.243 [8 per cell]
Ge: 0.000 0.000 0.477 [4 per cell]
Te: 0.000 0.221 0.896 [8 per cell]
Te: 0.245 0.000 0.131 [8 per cell]

***

Record 15
Here is a geometry-optimized Sm2Ag2Ge3 structure from Alexandria via LeMat-Bulk. Energies are from GGA-PBE.

Properties
The density is 8.156 g/cm3. The calculation puts the density of states at the Fermi level at 6.5 states/eV/cell. As for the energy of formation: -0.561 eV/atom.

Lattice parameters (Å, degrees): 4.423 18.840 7.177 90.00 90.00 90.00
Space group Cmcm (No. 63)
Inequivalent atoms, fractional coordinates:
Sm: 0.000 0.052 0.250 [4 per cell]
Sm: 0.000 0.153 0.750 [4 per cell]
Ag: 0.000 0.310 0.554 [8 per cell]
Ge: 0.000 0.222 0.250 [4 per cell]
Ge: 0.000 0.440 0.070 [8 per cell]

***

Record 16
Here is a geometry-optimized Sm4AgGe structure from Alexandria via LeMat-Bulk. Energies are from GGA-PBE.

Properties
The density is 7.120 g/cm3. The calculation puts the density of states at the Fermi level at 27.1 states/eV/cell. As for the energy of formation: -0.152 eV/atom.

Lattice parameters (Å, degrees): 5.372 21.407 6.343 90.00 90.00 90.00
Space group Cmc2_1 (No. 36)
Inequivalent atoms, fractional coordinates:
Sm: 0.000 0.061 0.000 [4 per cell]
Sm: 0.000 0.206 0.249 [4 per cell]
Sm: 0.000 0.212 0.767 [4 per cell]
Sm: 0.000 0.377 0.016 [4 per cell]
Ag: 0.000 0.077 0.502 [4 per cell]
Ge: 0.000 0.342 0.508 [4 per cell]

***

Record 17
Here is a geometry-optimized Sm2AgGe structure from Alexandria via LeMat-Bulk. Energies are from GGA-PBE.

Properties
The density is 8.062 g/cm3. The calculation puts the density of states at the Fermi level at 3.4 states/eV/cell. As for the energy of formation: -0.499 eV/atom.

Lattice parameters (Å, degrees): 5.112 5.112 3.793 90.00 90.00 90.00
Space group P4/mmm (No. 123)
Inequivalent atoms, fractional coordinates:
Sm: 0.000 0.500 0.000 [2 per cell]
Ag: 0.000 0.000 0.500 [1 per cell]
Ge: 0.500 0.500 0.500 [1 per cell]

***

Record 18
Here is a geometry-optimized Sm3Ag2Ge4 structure from Alexandria via LeMat-Bulk. Energies are from GGA-PBE.

Properties
The density is 7.885 g/cm3. The calculation puts the density of states at the Fermi level at 7.4 states/eV/cell. As for the energy of formation: -0.616 eV/atom.

Lattice parameters (Å, degrees): 10.984 4.471 8.500 90.00 104.96 90.00
Space group C2/m (No. 12)
Inequivalent atoms, fractional coordinates:
Sm: 0.000 0.000 0.000 [2 per cell]
Sm: 0.161 0.500 0.672 [4 per cell]
Ag: 0.117 0.500 0.283 [4 per cell]
Ge: 0.064 0.000 0.396 [4 per cell]
Ge: 0.215 0.500 0.043 [4 per cell]

***

Record 19
Here is a geometry-optimized Sm2AgGe2 structure from Alexandria via LeMat-Bulk. Energies are from GGA-PBE.

Properties
The density is 8.018 g/cm3. The calculation puts the energy above the lowest structure with this stoichiometry at 20 meV per atom. The calculation puts the density of states at the Fermi level at 15.2 states/eV/cell. As for the energy of formation: -0.679 eV/atom.

Lattice parameters (Å, degrees): 11.083 4.436 10.537 90.00 117.65 90.00
Space group C2/m (No. 12)
Inequivalent atoms, fractional coordinates:
Sm: 0.003 0.000 0.324 [4 per cell]
Sm: 0.186 0.000 0.101 [4 per cell]
Ag: 0.221 0.500 0.357 [4 per cell]
Ge: 0.028 0.500 0.890 [4 per cell]
Ge: 0.132 0.500 0.573 [4 per cell]

***

Record 20
Here is a geometry-optimized SmAgGe2 structure from Alexandria via LeMat-Bulk. Energies are from GGA-PBE.

Properties
The density is 7.859 g/cm3. The calculation puts the density of states at the Fermi level at 3.9 states/eV/cell. As for the energy of formation: -0.354 eV/atom.

Lattice parameters (Å, degrees): 4.3719 4.3719 15.4523 90.00 90.00 120.00
Space group R-3m (No. 166, hexagonal axes)
Inequivalent atoms, fractional coordinates:
Sm: 0.0000 0.0000 0.0000 [3 per cell]
Ag: 0.0000 0.0000 0.5000 [3 per cell]
Ge: 0.0000 0.0000 0.2282 [6 per cell]